Record 1
First-principles (PBE) data for a relaxed structure of CaMoAu2, as listed in Alexandria via LeMat-Bulk.

```
CaMoAu2
1.0
2.8892 0.0000 0.0000
0.0000 4.5355 0.0000
0.0000 0.0000 6.0402
Au Ca Mo
2 1 1
Direct
0.0000 0.0000 0.9572
0.5000 0.5000 0.2653
0.0000 0.0000 0.4739
0.5000 0.5000 0.8035
```

- energy relative to the lowest polymorph listed for this composition (meV/atom) = 193
- calculated formation energy (eV/atom) = 0.19
- volume (Å³/cell) = 79.1
- N(E_F) (states/eV/cell) = 2.742
- space-group type = No. 25
- total magnetization (μB per formula unit) = 0.6
- electronic total energy (eV per formula unit) = -18.62


Record 2
First-principles (PBE) data for a relaxed structure of CaMoAu2, as listed in Alexandria via LeMat-Bulk.

```
CaMoAu2
1.0
5.0314 0.0000 0.0000
0.0000 5.0314 0.0000
2.5157 2.5157 8.3322
Ca Au Mo
2 4 2
Direct
0.5000 0.5000 0.0000
0.2500 0.7500 0.5000
0.7062 0.1250 0.2500
0.8750 0.9562 0.7500
0.3750 0.2938 0.7500
0.0438 0.6250 0.2500
0.7500 0.2500 0.5000
0.0000 0.0000 0.0000
```

- energy relative to the lowest polymorph listed for this composition (meV/atom) = 532
- calculated formation energy (eV/atom) = 0.53
- volume (Å³/cell) = 210.9
- N(E_F) (states/eV/cell) = 6.007
- space-group type = No. 122
- total magnetization (μB per formula unit) = 0.0
- electronic total energy (eV per formula unit) = -17.26


Record 3
First-principles (PBE) data for a relaxed structure of CaMoAu2, as listed in Alexandria via LeMat-Bulk.

```
CaMoAu2
1.0
-1.6079 -3.8597 -4.2490
3.6794 -4.3355 -1.7894
-3.2004 2.6052 4.3019
Au Ca Mo
2 1 1
Direct
0.7660 0.2660 0.5000
0.0023 0.0023 0.0000
0.5050 0.5050 0.0000
0.2267 0.7267 0.5000
```

- energy relative to the lowest polymorph listed for this composition (meV/atom) = 156
- calculated formation energy (eV/atom) = 0.16
- volume (Å³/cell) = 79.7
- N(E_F) (states/eV/cell) = 3.035
- space-group type = No. 44
- total magnetization (μB per formula unit) = 1.5
- electronic total energy (eV per formula unit) = -18.76


Record 4
First-principles (PBE) data for a relaxed structure of CaMo2Au, as listed in Alexandria via LeMat-Bulk.

```
CaMo2Au
1.0
0.0000 3.3132 3.3132
3.3132 0.0000 3.3132
3.3132 3.3132 0.0000
Mo Au Ca
2 1 1
Direct
0.2500 0.2500 0.2500
0.7500 0.7500 0.7500
0.5000 0.5000 0.5000
0.0000 0.0000 0.0000
```

- energy relative to the lowest polymorph listed for this composition (meV/atom) = 794
- calculated formation energy (eV/atom) = 0.95
- volume (Å³/cell) = 72.7
- N(E_F) (states/eV/cell) = 5.950
- space-group type = No. 225
- total magnetization (μB per formula unit) = 0.0
- electronic total energy (eV per formula unit) = -23.13


Record 5
First-principles (PBE) data for a relaxed structure of CaMo2Au, as listed in Alexandria via LeMat-Bulk.

```
CaMo2Au
1.0
5.2711 0.0000 0.0000
0.0000 2.9569 -0.0306
0.0000 0.3718 4.9199
Au Mo Ca
1 2 1
Direct
0.5000 0.2500 0.2500
0.0000 0.1225 0.9936
0.0000 0.3775 0.5064
0.5000 0.7500 0.7500
```

- energy relative to the lowest polymorph listed for this composition (meV/atom) = 263
- calculated formation energy (eV/atom) = 0.42
- volume (Å³/cell) = 76.7
- N(E_F) (states/eV/cell) = 2.947
- space-group type = No. 10
- total magnetization (μB per formula unit) = 0.0
- electronic total energy (eV per formula unit) = -25.25


Record 6
First-principles (PBE) data for a relaxed structure of CaMo2Au, as listed in Alexandria via LeMat-Bulk.

```
CaMo2Au
1.0
3.6967 0.0000 0.0000
0.0000 3.6967 0.0000
0.0000 0.0000 6.4286
Ca Au Mo
1 1 2
Direct
0.5000 0.5000 0.7500
0.5000 0.5000 0.2500
0.0000 0.0000 0.0807
0.0000 0.0000 0.4193
```

- energy relative to the lowest polymorph listed for this composition (meV/atom) = 445
- calculated formation energy (eV/atom) = 0.60
- volume (Å³/cell) = 87.9
- N(E_F) (states/eV/cell) = 4.314
- space-group type = No. 123
- total magnetization (μB per formula unit) = 0.0
- electronic total energy (eV per formula unit) = -24.53


Record 7
First-principles (PBE) data for a relaxed structure of CaMoAu, as listed in Alexandria via LeMat-Bulk.

```
CaMoAu
1.0
-1.1447 4.5301 -1.3412
-3.5096 -3.1319 1.2267
0.1971 0.8878 2.8306
Mo Au Ca
1 1 1
Direct
0.3333 0.6667 0.8338
0.0000 0.0000 0.8329
0.6667 0.3333 0.3333
```

- energy relative to the lowest polymorph listed for this composition (meV/atom) = 130
- calculated formation energy (eV/atom) = 0.45
- volume (Å³/cell) = 60.8
- N(E_F) (states/eV/cell) = 3.472
- space-group type = No. 187
- total magnetization (μB per formula unit) = 0.0
- electronic total energy (eV per formula unit) = -14.76


Record 8
First-principles (PBE) data for a relaxed structure of CaMoAu2, as listed in Alexandria via LeMat-Bulk.

```
CaMoAu2
1.0
4.7437 -0.0161 0.0037
3.8543 2.7653 0.0037
0.7986 0.2554 6.2827
Au Mo Ca
2 1 1
Direct
0.9942 0.9942 0.0438
0.5058 0.5058 0.4562
0.2500 0.2500 0.2500
0.7500 0.7500 0.7500
```

- energy relative to the lowest polymorph listed for this composition (meV/atom) = 203
- calculated formation energy (eV/atom) = 0.20
- volume (Å³/cell) = 82.8
- N(E_F) (states/eV/cell) = 3.753
- space-group type = No. 12
- total magnetization (μB per formula unit) = 0.7
- electronic total energy (eV per formula unit) = -18.57


- The lowest N(E_F) belongs to which entry?
  number 1